Run w
MnTe2HI: optimized geometry, GGA-PBE.

Unit cell a=4.888 b=4.888 c=5.724 alpha=90.00 beta=90.00 gamma=90.00
Space group P4/mmm (No. 123)
One atom of each set of equivalent atoms:
Mn  0.000  0.000  0.000 [1 per cell]
Te  0.000  0.500  0.000 [2 per cell]
H  0.500  0.500  0.500 [1 per cell]
I  0.000  0.000  0.500 [1 per cell]

---

Run x
MnTe2HI: optimized geometry, GGA-PBE.

Unit cell a=4.360 b=4.360 c=7.034 alpha=90.00 beta=90.00 gamma=90.00
Space group P4/mmm (No. 123)
One atom of each set of equivalent atoms:
Mn  0.000  0.000  0.000 [1 per cell]
Te  0.000  0.500  0.500 [2 per cell]
H  0.500  0.500  0.500 [1 per cell]
I  0.500  0.500  0.000 [1 per cell]

---

Run y
MnTe2HI: optimized geometry, GGA-PBE.

Unit cell a=6.023 b=6.023 c=5.377 alpha=90.00 beta=90.00 gamma=90.00
Space group P4/mmm (No. 123)
One atom of each set of equivalent atoms:
Mn  0.000  0.000  0.000 [1 per cell]
Te  0.000  0.500  0.500 [2 per cell]
H  0.500  0.500  0.000 [1 per cell]
I  0.000  0.000  0.500 [1 per cell]

---

Least stable structure among those shown: run y.